No. 1
! TbGdAlNi | Alexandria via LeMat-Bulk | PBE-GGA | optimized geometry; values from VASP
! E_tot   -29.41 eV per cell
! Energy relative to the elements   -293 meV per atom
&SYSTEM
  ibrav = 0, nat = 4, ntyp = 4
/
ATOMIC_SPECIES
Tb 158.93 Tb.upf
Gd 157.25 Gd.upf
Al 26.98 Al.upf
Ni 58.69 Ni.upf
ATOMIC_POSITIONS crystal
Tb 0.000 0.000 0.000
Gd 0.500 0.500 0.500
Al 0.250 0.250 0.250
Ni 0.750 0.750 0.750
CELL_PARAMETERS angstrom
0.000 3.541 3.541
3.541 0.000 3.541
3.541 3.541 0.000

No. 2
! KRb2VI6 | Alexandria via LeMat-Bulk | PBE-GGA | optimized geometry; values from VASP
! E_tot   -31.83 eV per cell
! Formation energy (no corrections)   -1.038 eV per atom
&SYSTEM
  ibrav = 0, nat = 10, ntyp = 4
/
ATOMIC_SPECIES
K 39.10 K.upf
Rb 85.47 Rb.upf
V 50.94 V.upf
I 126.90 I.upf
ATOMIC_POSITIONS crystal
K 0.000 0.000 0.000
Rb 0.265 0.265 0.266
Rb 0.735 0.735 0.734
V 0.500 0.500 0.500
I 0.195 0.363 0.703
I 0.297 0.805 0.637
I 0.363 0.703 0.195
I 0.637 0.297 0.805
I 0.703 0.195 0.363
I 0.805 0.637 0.297
CELL_PARAMETERS angstrom
8.428 0.000 0.000
3.772 7.541 0.000
3.773 2.331 7.173

No. 3
! Ba3SmTm3Se8 | Alexandria via LeMat-Bulk | PBE-GGA | optimized geometry; values from VASP
! E_tot   -80.31 eV per cell
! Formation energy (no corrections)   -1.902 eV per atom
&SYSTEM
  ibrav = 0, nat = 15, ntyp = 4
/
ATOMIC_SPECIES
Ba 137.33 Ba.upf
Sm 150.36 Sm.upf
Tm 168.93 Tm.upf
Se 78.96 Se.upf
ATOMIC_POSITIONS crystal
Ba 0.000 0.500 0.500
Ba 0.500 0.000 0.500
Ba 0.500 0.500 0.000
Sm 0.500 0.500 0.500
Tm 0.000 0.000 0.500
Tm 0.000 0.500 0.000
Tm 0.500 0.000 0.000
Se 0.226 0.743 0.743
Se 0.236 0.236 0.236
Se 0.257 0.257 0.774
Se 0.257 0.774 0.257
Se 0.743 0.226 0.743
Se 0.743 0.743 0.226
Se 0.764 0.764 0.764
Se 0.774 0.257 0.257
CELL_PARAMETERS angstrom
4.191 2.420 7.505
-4.191 2.420 7.505
0.000 -4.839 7.505

No. 4
! In2Re2Si | Alexandria via LeMat-Bulk | PBE-GGA | optimized geometry; values from VASP
! E_tot   -31.87 eV per cell
! Formation energy (no corrections)   0.785 eV per atom
&SYSTEM
  ibrav = 0, nat = 5, ntyp = 3
/
ATOMIC_SPECIES
In 114.82 In.upf
Re 186.21 Re.upf
Si 28.09 Si.upf
ATOMIC_POSITIONS crystal
In 0.104 0.104 0.000
In 0.896 0.896 0.000
Re 0.250 0.750 0.500
Re 0.750 0.250 0.500
Si 0.500 0.500 0.000
CELL_PARAMETERS angstrom
-1.775 1.775 8.237
1.775 -1.775 8.237
1.775 1.775 -8.237

No. 5
! CdHgMo | Alexandria via LeMat-Bulk | PBE-GGA | optimized geometry; values from VASP
! E_tot   -10.65 eV per cell
! Energy relative to the elements   467 meV per atom
&SYSTEM
  ibrav = 0, nat = 3, ntyp = 3
/
ATOMIC_SPECIES
Cd 112.41 Cd.upf
Hg 200.59 Hg.upf
Mo 95.94 Mo.upf
ATOMIC_POSITIONS crystal
Cd 0.000 0.000 0.000
Hg 0.318 0.318 0.000
Mo 0.658 0.658 0.000
CELL_PARAMETERS angstrom
-1.442 1.442 6.923
1.442 -1.442 6.923
1.442 1.442 -6.923

No. 6
! LiCaIn4Ag2 | Alexandria via LeMat-Bulk | PBE-GGA | optimized geometry; values from VASP
! E_tot   -22.18 eV per cell
! Energy relative to the elements   -201 meV per atom
&SYSTEM
  ibrav = 0, nat = 8, ntyp = 4
/
ATOMIC_SPECIES
Li 6.94 Li.upf
Ca 40.08 Ca.upf
In 114.82 In.upf
Ag 107.87 Ag.upf
ATOMIC_POSITIONS crystal
Li 0.000 0.000 0.000
Ca 0.500 0.500 0.500
In 0.105 0.105 0.105
In 0.374 0.374 0.374
In 0.626 0.626 0.626
In 0.895 0.895 0.895
Ag 0.268 0.268 0.268
Ag 0.732 0.732 0.732
CELL_PARAMETERS angstrom
2.372 1.370 9.634
-2.372 1.370 9.634
0.000 -2.739 9.634

Number 1: density of states at the Fermi level 0.884 states/eV per atom, total magnetization 7.104 Bohr magnetons per cell. Number 2: density of states at the Fermi level 1.031 states/eV per atom, total magnetization 2.000 Bohr magnetons per cell. Number 3: density of states at the Fermi level 0.239 states/eV per atom, total magnetization 0.000 Bohr magnetons per cell. Number 4: density of states at the Fermi level 0.777 states/eV per atom, total magnetization 0.000 Bohr magnetons per cell. Number 5: density of states at the Fermi level 0.686 states/eV per atom, total magnetization 0.000 Bohr magnetons per cell. Number 6: density of states at the Fermi level 0.313 states/eV per atom, total magnetization 0.000 Bohr magnetons per cell.